Compound: LaTmPt
Source: the Alexandria database
Functional: PBE
Structure: relaxed

Output
Volume = 83.7 Å³/cell
Total DFT energy (no corrections) = -0.4302 Ry/atom
Energy relative to the elements = -706 meV per atom

The structure in CIF format:
```
data_LaTmPt
_chemical_formula_sum 'La1 Tm1 Pt1'
_space_group_name_H-M_alt 'P 3 m 1'
_space_group_IT_number 156
_space_group_name_Hall 'P 3 -2"'
_cell_length_a 4.6444
_cell_length_b 4.6444
_cell_length_c 4.4802
_cell_angle_alpha 90.00
_cell_angle_beta 90.00
_cell_angle_gamma 120.00
loop_
_atom_site_label
_atom_site_fract_x
_atom_site_fract_y
_atom_site_fract_z
La1 0.0000 0.0000 0.0000
Tm1 0.6667 0.3333 0.4938
Pt1 0.3333 0.6667 0.6489
```

---

Compound: Na2TcGe2
Source: the Alexandria database
Functional: PBE
Structure: relaxed

Output
Volume = 213.5 Å³/cell
Total DFT energy (no corrections) = -0.3113 Ry/atom
Energy relative to the elements = 213 meV per atom

The structure in CIF format:
```
data_Na2TcGe2
_chemical_formula_sum 'Na4 Tc2 Ge4'
_space_group_name_H-M_alt 'P 4/m b m'
_space_group_IT_number 127
_space_group_name_Hall '-P 4 2ab'
_cell_length_a 6.5384
_cell_length_b 6.5384
_cell_length_c 4.9945
_cell_angle_alpha 90.00
_cell_angle_beta 90.00
_cell_angle_gamma 90.00
loop_
_atom_site_label
_atom_site_fract_x
_atom_site_fract_y
_atom_site_fract_z
Na1 0.1756 0.3244 0.0000
Tc1 0.0000 0.0000 0.5000
Ge1 0.1531 0.6531 0.5000
```

---

Compound: K2Sb
Source: the Alexandria database
Functional: PBE
Structure: relaxed

Output
Volume = 501.1 Å³/cell
Total DFT energy (no corrections) = -0.1847 Ry/atom

The structure in CIF format:
```
data_K2Sb
_chemical_formula_sum 'K8 Sb4'
_space_group_name_H-M_alt 'C 1 2/m 1'
_space_group_IT_number 12
_space_group_name_Hall '-C 2y'
_cell_length_a 10.8202
_cell_length_b 5.8622
_cell_length_c 8.5098
_cell_angle_alpha 90.00
_cell_angle_beta 111.81
_cell_angle_gamma 90.00
loop_
_atom_site_label
_atom_site_fract_x
_atom_site_fract_y
_atom_site_fract_z
K1 0.1148 0.0000 0.3951
K2 0.1933 0.5000 0.1262
Sb1 0.0836 0.5000 0.6846
```

---

Compound: ZnNi2Ir2
Source: the Alexandria database
Functional: PBE
Structure: relaxed

Output
Volume = 139.3 Å³/cell
Total DFT energy (no corrections) = -0.4365 Ry/atom
Energy relative to the elements = 173 meV per atom

The structure in CIF format:
```
data_ZnNi2Ir2
_chemical_formula_sum 'Zn2 Ni4 Ir4'
_space_group_name_H-M_alt 'P 4/m b m'
_space_group_IT_number 127
_space_group_name_Hall '-P 4 2ab'
_cell_length_a 7.0984
_cell_length_b 7.0984
_cell_length_c 2.7647
_cell_angle_alpha 90.00
_cell_angle_beta 90.00
_cell_angle_gamma 90.00
loop_
_atom_site_label
_atom_site_fract_x
_atom_site_fract_y
_atom_site_fract_z
Zn1 0.0000 0.0000 0.0000
Ni1 0.1661 0.3339 0.5000
Ir1 0.1324 0.6324 0.0000
```

---

Compound: Dy2ZnGe2
Source: the Alexandria database
Functional: PBE
Structure: relaxed

Output
Volume = 213.9 Å³/cell
Total DFT energy (no corrections) = -0.3377 Ry/atom
Energy relative to the elements = -653 meV per atom

The structure in CIF format:
```
data_Dy2ZnGe2
_chemical_formula_sum 'Dy4 Zn2 Ge4'
_space_group_name_H-M_alt 'I m m m'
_space_group_IT_number 71
_space_group_name_Hall '-I 2 2'
_cell_length_a 4.1467
_cell_length_b 5.8797
_cell_length_c 8.7724
_cell_angle_alpha 90.00
_cell_angle_beta 90.00
_cell_angle_gamma 90.00
loop_
_atom_site_label
_atom_site_fract_x
_atom_site_fract_y
_atom_site_fract_z
Dy1 0.0000 0.0000 0.2095
Zn1 0.0000 0.5000 0.0000
Ge1 0.0000 0.2807 0.5000
```

---

Compound: BiSeN2O
Source: the Alexandria database
Functional: PBE
Structure: relaxed

Output
Volume = 113.7 Å³/cell
Total DFT energy (no corrections) = -0.2719 Ry/atom

The structure in CIF format:
```
data_BiSeN2O
_chemical_formula_sum 'Bi1 Se1 N2 O1'
_space_group_name_H-M_alt 'P 4/m m m'
_space_group_IT_number 123
_space_group_name_Hall '-P 4 2'
_cell_length_a 4.4868
_cell_length_b 4.4868
_cell_length_c 5.6488
_cell_angle_alpha 90.00
_cell_angle_beta 90.00
_cell_angle_gamma 90.00
loop_
_atom_site_label
_atom_site_fract_x
_atom_site_fract_y
_atom_site_fract_z
Bi1 0.0000 0.0000 0.0000
Se1 0.0000 0.0000 0.5000
N1 0.0000 0.5000 0.0000
O1 0.5000 0.5000 0.5000
```

---

Compound: Rb2BeVBr6
Source: the Alexandria database
Functional: PBE
Structure: relaxed

Output
Volume = 570.3 Å³/cell
Total DFT energy (no corrections) = -0.2606 Ry/atom

The structure in CIF format:
```
data_Rb2BeVBr6
_chemical_formula_sum 'Rb4 Be2 V2 Br12'
_space_group_name_H-M_alt 'I 4/m m m'
_space_group_IT_number 139
_space_group_name_Hall '-I 4 2'
_cell_length_a 7.2086
_cell_length_b 7.2086
_cell_length_c 10.9753
_cell_angle_alpha 90.00
_cell_angle_beta 90.00
_cell_angle_gamma 90.00
loop_
_atom_site_label
_atom_site_fract_x
_atom_site_fract_y
_atom_site_fract_z
Rb1 0.0000 0.5000 0.2500
Be1 0.0000 0.0000 0.0000
V1 0.0000 0.0000 0.5000
Br1 0.0000 0.0000 0.2609
Br2 0.2345 0.2345 0.0000
```

---

Compound: CsZnI
Source: the Alexandria database
Functional: PBE
Structure: relaxed

Output
Volume = 293.9 Å³/cell
Total DFT energy (no corrections) = -0.1423 Ry/atom

The structure in CIF format:
```
data_CsZnI
_chemical_formula_sum 'Cs2 Zn2 I2'
_space_group_name_H-M_alt 'P 1'
_space_group_IT_number 1
_space_group_name_Hall 'P 1'
_cell_length_a 5.0783
_cell_length_b 6.4864
_cell_length_c 10.0425
_cell_angle_alpha 80.88
_cell_angle_beta 75.37
_cell_angle_gamma 66.98
loop_
_atom_site_label
_atom_site_fract_x
_atom_site_fract_y
_atom_site_fract_z
Cs1 0.0000 0.0000 0.0000
Cs2 0.0428 0.4405 0.4739
Zn1 0.2312 0.8943 0.6401
Zn2 0.6945 0.9513 0.6565
I1 0.3945 0.4105 0.8001
I2 0.4353 0.8435 0.2858
```

---

Compound: CaYSi2
Source: the Alexandria database
Functional: PBE
Structure: relaxed

Output
Volume = 190.2 Å³/cell
Total DFT energy (no corrections) = -0.3681 Ry/atom

The structure in CIF format:
```
data_CaYSi2
_chemical_formula_sum 'Ca2 Y2 Si4'
_space_group_name_H-M_alt 'C m m 2'
_space_group_IT_number 35
_space_group_name_Hall 'C 2 -2'
_cell_length_a 4.5613
_cell_length_b 5.1726
_cell_length_c 8.0633
_cell_angle_alpha 90.00
_cell_angle_beta 90.00
_cell_angle_gamma 90.00
loop_
_atom_site_label
_atom_site_fract_x
_atom_site_fract_y
_atom_site_fract_z
Ca1 0.0000 0.0000 0.0000
Y1 0.0000 0.5000 0.3865
Si1 0.0000 0.0000 0.6216
Si2 0.0000 0.5000 0.7428
```

---

Compound: MnHSeN2
Source: the Alexandria database
Functional: PBE
Structure: relaxed

Output
Volume = 63.3 Å³/cell
Total DFT energy (no corrections) = -0.4146 Ry/atom

The structure in CIF format:
```
data_MnHSeN2
_chemical_formula_sum 'Mn1 H1 Se1 N2'
_space_group_name_H-M_alt 'P 4/m m m'
_space_group_IT_number 123
_space_group_name_Hall '-P 4 2'
_cell_length_a 3.4915
_cell_length_b 3.4915
_cell_length_c 5.1886
_cell_angle_alpha 90.00
_cell_angle_beta 90.00
_cell_angle_gamma 90.00
loop_
_atom_site_label
_atom_site_fract_x
_atom_site_fract_y
_atom_site_fract_z
Mn1 0.0000 0.0000 0.0000
H1 0.5000 0.5000 0.5000
Se1 0.0000 0.0000 0.5000
N1 0.0000 0.5000 0.0000
```

---

Compound: PbC
Source: the Alexandria database
Functional: PBE
Structure: relaxed

Output
Volume = 160.8 Å³/cell
Total DFT energy (no corrections) = -0.3626 Ry/atom
Energy relative to the elements = 1533 meV per atom

The structure in CIF format:
```
data_PbC
_chemical_formula_sum 'Pb4 C4'
_space_group_name_H-M_alt 'P 42/m n m'
_space_group_IT_number 136
_space_group_name_Hall '-P 4n 2n'
_cell_length_a 6.5246
_cell_length_b 6.5246
_cell_length_c 3.7761
_cell_angle_alpha 90.00
_cell_angle_beta 90.00
_cell_angle_gamma 90.00
loop_
_atom_site_label
_atom_site_fract_x
_atom_site_fract_y
_atom_site_fract_z
Pb1 0.1831 0.1831 0.0000
C1 0.1761 0.8239 0.0000
```

---

Compound: PbAuBr2Cl
Source: the Alexandria database
Functional: PBE
Structure: relaxed

Output
Volume = 158.7 Å³/cell
Total DFT energy (no corrections) = -0.1924 Ry/atom

The structure in CIF format:
```
data_PbAuBr2Cl
_chemical_formula_sum 'Pb1 Au1 Br2 Cl1'
_space_group_name_H-M_alt 'P 4/m m m'
_space_group_IT_number 123
_space_group_name_Hall '-P 4 2'
_cell_length_a 5.1397
_cell_length_b 5.1397
_cell_length_c 6.0061
_cell_angle_alpha 90.00
_cell_angle_beta 90.00
_cell_angle_gamma 90.00
loop_
_atom_site_label
_atom_site_fract_x
_atom_site_fract_y
_atom_site_fract_z
Pb1 0.0000 0.0000 0.0000
Au1 0.0000 0.0000 0.5000
Br1 0.0000 0.5000 0.5000
Cl1 0.5000 0.5000 0.0000
```

---

> volume of number 12 (PbAuBr2Cl)?

158.7 Å³/cell

---

> What is the total DFT energy (no corrections) in the fourth record?

-0.4365 Ry/atom

---

> Which formula does entry 4 have?

ZnNi2Ir2

---

> total DFT energy (no corrections) of number 11 (PbC)?

-0.3626 Ry/atom